No. 1
Below is a relaxed structure of Re2RuAu, with properties calculated at the PBE level.

Its magnetization is 0.0 μB per formula unit. The value obtained for the density of states at the Fermi level is 3.67 states/eV per cell. As for the formation energy: 0.57 eV/atom. The calculated density is 17.96 Mg/m³. The electronic total energy is -8.79 eV per atom.

Cell: 4.4425 4.4425 4.4425 Å, 60.00 60.00 60.00°
With the nearest neighbours (Å) after each atom.
Fractional coordinates of all 4 atoms:
1 Ru 0.7500 0.7500 0.7500  4 Re 2.72, 4 Au 2.72
2 Re 0.0000 0.0000 0.0000  4 Re 2.72, 4 Ru 2.72
3 Re 0.2500 0.2500 0.2500  4 Au 2.72, 4 Re 2.72
4 Au 0.5000 0.5000 0.5000  4 Ru 2.72, 4 Re 2.72

No. 2
Below is a relaxed structure of Pr2CoBr, with properties calculated at the PBE level.

The value obtained for the formation energy from raw total energies is -0.698 eV/atom. Its magnetization is 0.0 μB per formula unit. The value obtained for the density of states at the Fermi level is 1.32 states/eV per cell. The calculated density is 6.31 Mg/m³. The electronic total energy is -5.28 eV per atom.

Cell: 4.0135 4.0135 8.2710 Å, 75.96 75.96 60.00°
With the nearest neighbours (Å) after each atom.
Fractional coordinates of all 4 atoms:
1 Co 0.6672 0.6672 0.9985  6 Pr 2.77-2.78
2 Br 0.4987 0.4987 0.5038  6 Pr 3.34-3.40
3 Pr 0.2697 0.2697 0.1909  3 Co 2.78
4 Pr 0.0644 0.0644 0.8068  3 Co 2.77

No. 3
Below is a relaxed structure of Cs3Ac2CdSe6, with properties calculated at the PBE level.

The value obtained for the formation energy from raw total energies is -1.337 eV/atom. Its magnetization is 0.8 μB per formula unit. The value obtained for the density of states at the Fermi level is 18.22 states/eV per cell. The calculated density is 5.33 Mg/m³. The electronic total energy is -4.05 eV per atom.

Cell: 7.8221 7.8221 8.8485 Å, 98.55 98.55 119.94°
With the nearest neighbours (Å) after each atom.
Fractional coordinates of all 12 atoms:
1 Ac 0.6663 0.3337 0.0000  6 Se 3.13
2 Ac 0.3337 0.6663 0.0000  6 Se 3.13
3 Se 0.6178 0.9357 0.8071  1 Cd 2.97, 2 Ac 3.13
4 Se 0.2550 0.2550 0.8039  1 Cd 3.01, 2 Ac 3.13
5 Se 0.0643 0.3822 0.1929  1 Cd 2.97, 2 Ac 3.13
6 Se 0.9357 0.6178 0.8071  1 Cd 2.97, 2 Ac 3.13
7 Se 0.7450 0.7450 0.1961  1 Cd 3.01, 2 Ac 3.13
8 Se 0.3822 0.0643 0.1929  1 Cd 2.97, 2 Ac 3.13
9 Cs 0.1675 0.8325 0.5000  6 Se 3.63-3.76
10 Cs 0.5000 0.5000 0.5000  6 Se 3.64-3.74
11 Cs 0.8325 0.1675 0.5000  6 Se 3.63-3.76
12 Cd 0.0000 0.0000 0.0000  6 Se 2.97-3.01

No. 4
Below is a relaxed structure of TiOsRuS, with properties calculated at the PBE level.

The value obtained for the formation energy from raw total energies is -0.206 eV/atom. Its magnetization is 0.0 μB per formula unit. The value obtained for the density of states at the Fermi level is 6.19 states/eV per cell. The calculated density is 10.85 Mg/m³. The electronic total energy is -8.34 eV per atom.

Cell: 4.5706 2.9599 9.5148 Å, 90.00 118.02 90.00°
With the nearest neighbours (Å) after each atom.
Fractional coordinates of all 8 atoms:
1 Ti 0.0275 0.0000 0.1525  2 S 2.45
2 Ti 0.0275 0.5000 0.6525  2 S 2.45
3 Os 0.3279 0.5000 0.4422  2 S 2.32
4 Os 0.3279 0.0000 0.9422  2 S 2.32
5 S 0.9260 0.5000 0.9294  2 Os 2.32, 2 Ru 2.36, 2 Ti 2.45
6 S 0.9260 0.0000 0.4294  2 Os 2.32, 2 Ru 2.36, 2 Ti 2.45
7 Ru 0.5923 0.5000 0.2234  2 S 2.36
8 Ru 0.5923 0.0000 0.7234  2 S 2.36

No. 5
Below is a relaxed structure of LiCdRh, with properties calculated at the PBE level.

Its magnetization is 0.0 μB per formula unit. The value obtained for the density of states at the Fermi level is 4.26 states/eV per cell. As for the formation energy: -0.11 eV/atom. The calculated density is 7.29 Mg/m³. The electronic total energy is -3.50 eV per atom.

Cell: 4.6541 5.4466 7.9901 Å, 90.00 90.00 90.00°
With the nearest neighbours (Å) after each atom.
Fractional coordinates of all 12 atoms:
1 Cd 0.5000 0.0000 0.0867  5 Rh 2.67-2.72
2 Cd 0.0000 0.5000 0.9133  5 Rh 2.67-2.72
3 Cd 0.0000 0.0000 0.5866  5 Rh 2.67-2.72
4 Cd 0.5000 0.5000 0.4134  5 Rh 2.67-2.72
5 Li 0.0000 0.7500 0.2500  2 Li 2.72, 6 Rh 2.95-3.03, 6 Cd 3.00-3.02
6 Li 0.5000 0.7500 0.7500  2 Li 2.72, 6 Rh 2.95-3.03, 6 Cd 3.00-3.02
7 Li 0.0000 0.2500 0.2500  2 Li 2.72, 6 Rh 2.95-3.03, 6 Cd 3.00-3.02
8 Li 0.5000 0.2500 0.7500  2 Li 2.72, 6 Rh 2.95-3.03, 6 Cd 3.00-3.02
9 Rh 0.0000 0.5000 0.5782  5 Cd 2.67-2.72, 2 Li 2.95
10 Rh 0.5000 0.5000 0.0782  5 Cd 2.67-2.72, 2 Li 2.95
11 Rh 0.0000 0.0000 0.9218  5 Cd 2.67-2.72, 2 Li 2.95
12 Rh 0.5000 0.0000 0.4218  5 Cd 2.67-2.72, 2 Li 2.95

No. 6
Below is a relaxed structure of Na2CdPbI6, with properties calculated at the PBE level.

The value obtained for the formation energy from raw total energies is -0.761 eV/atom. Its magnetization is 0.0 μB per formula unit. The value obtained for the density of states at the Fermi level is 0.00 states/eV per cell. The calculated density is 3.72 Mg/m³. The electronic total energy is -2.42 eV per atom.

Cell: 7.1283 8.3985 8.3985 Å, 90.00 90.00 90.00°
With the nearest neighbours (Å) after each atom.
Fractional coordinates of all 10 atoms:
1 Pb 0.6079 0.5000 0.5000  5 I 2.96-3.25
2 I 0.2137 0.0000 0.0000  1 Cd 2.72
3 I 0.1926 0.5000 0.5000  1 Pb 2.96
4 I 0.7489 0.7603 0.2397  1 Cd 3.05, 2 Na 3.22, 1 Pb 3.25
5 I 0.7489 0.2397 0.2397  1 Cd 3.05, 2 Na 3.22, 1 Pb 3.25
6 I 0.7489 0.7603 0.7603  1 Cd 3.05, 2 Na 3.22, 1 Pb 3.25
7 I 0.7489 0.2397 0.7603  1 Cd 3.05, 2 Na 3.22, 1 Pb 3.25
8 Cd 0.5947 0.0000 0.0000  1 I 2.72
9 Na 0.9211 0.5000 0.0000  4 I 3.22
10 Na 0.9211 0.0000 0.5000  4 I 3.22